Model P:
A plane-wave DFT calculation with GGA-PBE was carried out for AcTmLu2 after structural relaxation.

abc: 5.135 5.135 5.025
angles: 90.00 90.00 90.00
Sites, in units of the cell vectors:
Ac: 0.000 0.000 0.000
Tm: 0.500 0.500 0.000
Lu: 0.000 0.500 0.500
Lu: 0.500 0.000 0.500

D(E_F) = 7.26 states/eV per cell
Space-group type = P4/mmm

Model Q:
A plane-wave DFT calculation with GGA-PBE was carried out for AcTmLu2 after structural relaxation.

abc: 8.104 8.104 8.104
angles: 90.00 90.00 90.00
Sites, in units of the cell vectors:
Ac: 0.000 0.000 0.000
Ac: 0.000 0.500 0.500
Ac: 0.500 0.000 0.500
Ac: 0.500 0.500 0.000
Tm: 0.000 0.000 0.500
Tm: 0.000 0.500 0.000
Tm: 0.500 0.000 0.000
Tm: 0.500 0.500 0.500
Lu: 0.250 0.250 0.250
Lu: 0.250 0.250 0.750
Lu: 0.250 0.750 0.250
Lu: 0.250 0.750 0.750
Lu: 0.750 0.250 0.250
Lu: 0.750 0.250 0.750
Lu: 0.750 0.750 0.250
Lu: 0.750 0.750 0.750

D(E_F) = 19.08 states/eV per cell
Space-group type = Fm-3m

Computed stability ranking, most favorable first: model P, model Q